1.
Computed, not measured: an optimized crystal structure of HfAlRh at the PBE-GGA level of DFT. Values from VASP.

Calculated values
space group = Imm2 (44)

```
&SYSTEM
  ibrav = 0, nat = 9, ntyp = 3
/
ATOMIC_SPECIES
Hf 178.49 Hf.upf
Al 26.98 Al.upf
Rh 102.91 Rh.upf
ATOMIC_POSITIONS crystal
Hf 0.6567 0.3148 0.3133
Hf 0.3433 0.0015 0.6867
Hf 0.0000 0.7420 0.0000
Al 0.0000 0.2051 0.0000
Al 0.3190 0.4849 0.6380
Al 0.6810 0.8469 0.3620
Rh 0.5000 0.4706 0.0000
Rh 0.8364 0.2724 0.6728
Rh 0.1636 0.5996 0.3272
CELL_PARAMETERS angstrom
-0.6572 1.2966 4.0293
-6.1902 0.1452 -1.0565
2.9703 -6.6672 0.3531
```

---

2.
Computed, not measured: an optimized crystal structure of Hf3Al3Rh at the PBE-GGA level of DFT. Values from VASP.

Calculated values
space group = Cmcm (63)

```
&SYSTEM
  ibrav = 0, nat = 14, ntyp = 3
/
ATOMIC_SPECIES
Hf 178.49 Hf.upf
Al 26.98 Al.upf
Rh 102.91 Rh.upf
ATOMIC_POSITIONS crystal
Hf 0.1867 0.3734 0.9085
Hf 0.8133 0.6266 0.0915
Hf 0.1867 0.3734 0.5915
Hf 0.8133 0.6266 0.4085
Hf 0.5075 0.0150 0.7500
Hf 0.4925 0.9850 0.2500
Al 0.9062 0.8124 0.8950
Al 0.0938 0.1876 0.1050
Al 0.9062 0.8124 0.6050
Al 0.0938 0.1876 0.3950
Al 0.7684 0.5367 0.7500
Al 0.2316 0.4633 0.2500
Rh 0.5000 0.0000 0.0000
Rh 0.5000 0.0000 0.5000
CELL_PARAMETERS angstrom
3.3139 0.0000 0.0000
-1.6570 5.3890 0.0000
0.0000 0.0000 14.2630
```

---

3.
Computed, not measured: an optimized crystal structure of HfAl2Rh3 at the PBE-GGA level of DFT. Values from VASP.

Calculated values
space group = P4/mmm (123)

```
&SYSTEM
  ibrav = 0, nat = 6, ntyp = 3
/
ATOMIC_SPECIES
Hf 178.49 Hf.upf
Al 26.98 Al.upf
Rh 102.91 Rh.upf
ATOMIC_POSITIONS crystal
Hf 0.5000 0.5000 0.5000
Al 0.5000 0.5000 0.8433
Al 0.5000 0.5000 0.1567
Rh 0.0000 0.0000 0.0000
Rh 0.0000 0.0000 0.6897
Rh 0.0000 0.0000 0.3103
CELL_PARAMETERS angstrom
-1.1056 2.6638 0.8362
-2.6339 -1.2934 0.6379
3.0395 -1.6366 9.2324
```

---

no.,DFT formation energy (eV per atom)
1,-0.62
2,-0.54
3,-1.01